--- 1 ---
Density functional theory data (meta-GGA SCAN) for a crystal of Zn2CrBr relaxed with PBEsol.

Unit cell a=6.474 b=6.474 c=6.474 alpha=90.00 beta=90.00 gamma=90.00
Space group F-43m (No. 216)
One atom of each set of equivalent atoms:
Zn: 0.000 0.000 0.000 [4 per cell]
Zn: 0.250 0.250 0.250 [4 per cell]
Cr: 0.250 0.250 0.750 [4 per cell]
Br: 0.000 0.000 0.500 [4 per cell]

## Properties
The calculation puts the density of states at the Fermi level at 13.507 states/eV per cell.

=====

--- 2 ---
Density functional theory data (meta-GGA SCAN) for a crystal of Zn2CrBr relaxed with PBEsol.

Unit cell a=3.159 b=3.159 c=7.387 alpha=90.00 beta=90.00 gamma=90.00
Space group P4mm (No. 99)
One atom of each set of equivalent atoms:
Zn: 0.000 0.000 0.000 [1 per cell]
Zn: 0.500 0.500 0.177 [1 per cell]
Cr: 0.500 0.500 0.777 [1 per cell]
Br: 0.000 0.000 0.562 [1 per cell]

## Properties
The calculation puts the density of states at the Fermi level at 2.172 states/eV per cell.

=====

Stability ranking, top and bottom: 2 is the most stable and 1 is the least stable.